[1]
Y2FeBBr after structural relaxation. Source: Alexandria via LeMat-Bulk, functional PBE.

Cell and atoms, written as CIF:
```
data_Y2FeBBr
_chemical_formula_sum 'Y2 Fe1 B1 Br1'
_symmetry_space_group_name_H-M 'P 4/m m m'
_symmetry_Int_Tables_number 123
_symmetry_space_group_name_Hall '-P 4 2'
_cell_length_a 5.141
_cell_length_b 5.141
_cell_length_c 4.290
_cell_angle_alpha 90.00
_cell_angle_beta 90.00
_cell_angle_gamma 90.00
loop_
_atom_site_label
_atom_site_type_symbol
_atom_site_fract_x
_atom_site_fract_y
_atom_site_fract_z
Y1 Y 0.000 0.500 0.000
Fe1 Fe 0.000 0.000 0.000
B1 B 0.500 0.500 0.500
Br1 Br 0.000 0.000 0.500
```

[2]
# GaBBr2 | Alexandria via LeMat-Bulk | PBE | relaxed
# Excess energy over the best structure of this formula in the dataset   147 meV per atom
data_GaBBr2
_chemical_formula_sum 'Ga4 B4 Br8'
_symmetry_space_group_name_H-M 'F m -3 m'
_symmetry_Int_Tables_number 225
_symmetry_space_group_name_Hall '-F 4 2 3'
_cell_length_a 7.269
_cell_length_b 7.269
_cell_length_c 7.269
_cell_angle_alpha 90.00
_cell_angle_beta 90.00
_cell_angle_gamma 90.00
loop_
_atom_site_label
_atom_site_type_symbol
_atom_site_fract_x
_atom_site_fract_y
_atom_site_fract_z
Ga1 Ga 0.000 0.000 0.000
B1 B 0.000 0.000 0.500
Br1 Br 0.250 0.250 0.250

[3]
# GaBBr2 | Alexandria via LeMat-Bulk | PBE | relaxed
# Excess energy over the best structure of this formula in the dataset   66 meV per atom
data_GaBBr2
_chemical_formula_sum 'Ga3 B3 Br6'
_symmetry_space_group_name_H-M 'R -3 m'
_symmetry_Int_Tables_number 166
_symmetry_space_group_name_Hall '-R 3 2"'
_cell_length_a 3.4808
_cell_length_b 3.4808
_cell_length_c 26.2942
_cell_angle_alpha 90.00
_cell_angle_beta 90.00
_cell_angle_gamma 120.00
loop_
_atom_site_label
_atom_site_type_symbol
_atom_site_fract_x
_atom_site_fract_y
_atom_site_fract_z
Ga1 Ga 0.0000 0.0000 0.0000
B1 B 0.0000 0.0000 0.5000
Br1 Br 0.0000 0.0000 0.1107

[4]
# GaB2Br | Alexandria via LeMat-Bulk | PBE | relaxed
# Excess energy over the best structure of this formula in the dataset   0 meV per atom
data_GaB2Br
_chemical_formula_sum 'Ga4 B8 Br4'
_symmetry_space_group_name_H-M 'I -4 2 d'
_symmetry_Int_Tables_number 122
_symmetry_space_group_name_Hall 'I -4 2bw'
_cell_length_a 5.104
_cell_length_b 5.104
_cell_length_c 10.301
_cell_angle_alpha 90.00
_cell_angle_beta 90.00
_cell_angle_gamma 90.00
loop_
_atom_site_label
_atom_site_type_symbol
_atom_site_fract_x
_atom_site_fract_y
_atom_site_fract_z
Ga1 Ga 0.000 0.000 0.000
B1 B 0.206 0.250 0.125
Br1 Br 0.000 0.000 0.500

[5]
# GaBBr2 | Alexandria via LeMat-Bulk | PBE | relaxed
# Excess energy over the best structure of this formula in the dataset   18 meV per atom
data_GaBBr2
_chemical_formula_sum 'Ga3 B3 Br6'
_symmetry_space_group_name_H-M 'R -3 m'
_symmetry_Int_Tables_number 166
_symmetry_space_group_name_Hall '-R 3 2"'
_cell_length_a 3.4940
_cell_length_b 3.4940
_cell_length_c 27.9424
_cell_angle_alpha 90.00
_cell_angle_beta 90.00
_cell_angle_gamma 120.00
loop_
_atom_site_label
_atom_site_type_symbol
_atom_site_fract_x
_atom_site_fract_y
_atom_site_fract_z
Ga1 Ga 0.0000 0.0000 0.0000
B1 B 0.0000 0.0000 0.5000
Br1 Br 0.0000 0.0000 0.4339

[6]
# Ga3BBr | Alexandria via LeMat-Bulk | PBE | relaxed
# Excess energy over the best structure of this formula in the dataset   0 meV per atom
data_Ga3BBr
_chemical_formula_sum 'Ga3 B1 Br1'
_symmetry_space_group_name_H-M 'P m -3 m'
_symmetry_Int_Tables_number 221
_symmetry_space_group_name_Hall '-P 4 2 3'
_cell_length_a 4.575
_cell_length_b 4.575
_cell_length_c 4.575
_cell_angle_alpha 90.00
_cell_angle_beta 90.00
_cell_angle_gamma 90.00
loop_
_atom_site_label
_atom_site_type_symbol
_atom_site_fract_x
_atom_site_fract_y
_atom_site_fract_z
Ga1 Ga 0.000 0.000 0.500
B1 B 0.000 0.000 0.000
Br1 Br 0.500 0.500 0.500

[7]
# GaB2Br | Alexandria via LeMat-Bulk | PBE | relaxed
# Excess energy over the best structure of this formula in the dataset   880 meV per atom
data_GaB2Br
_chemical_formula_sum 'Ga4 B8 Br4'
_symmetry_space_group_name_H-M 'F m -3 m'
_symmetry_Int_Tables_number 225
_symmetry_space_group_name_Hall '-F 4 2 3'
_cell_length_a 6.247
_cell_length_b 6.247
_cell_length_c 6.247
_cell_angle_alpha 90.00
_cell_angle_beta 90.00
_cell_angle_gamma 90.00
loop_
_atom_site_label
_atom_site_type_symbol
_atom_site_fract_x
_atom_site_fract_y
_atom_site_fract_z
Ga1 Ga 0.000 0.000 0.000
B1 B 0.250 0.250 0.250
Br1 Br 0.000 0.000 0.500

[8]
# GaB3Br | Alexandria via LeMat-Bulk | PBE | relaxed
# Excess energy over the best structure of this formula in the dataset   628 meV per atom
data_GaB3Br
_chemical_formula_sum 'Ga1 B3 Br1'
_symmetry_space_group_name_H-M 'P m -3 m'
_symmetry_Int_Tables_number 221
_symmetry_space_group_name_Hall '-P 4 2 3'
_cell_length_a 4.188
_cell_length_b 4.188
_cell_length_c 4.188
_cell_angle_alpha 90.00
_cell_angle_beta 90.00
_cell_angle_gamma 90.00
loop_
_atom_site_label
_atom_site_type_symbol
_atom_site_fract_x
_atom_site_fract_y
_atom_site_fract_z
Ga1 Ga 0.000 0.000 0.000
B1 B 0.000 0.500 0.500
Br1 Br 0.500 0.500 0.500

[9]
# GaBBr2 | Alexandria via LeMat-Bulk | PBE | relaxed
# Excess energy over the best structure of this formula in the dataset   0 meV per atom
data_GaBBr2
_chemical_formula_sum 'Ga4 B4 Br8'
_symmetry_space_group_name_H-M 'I -4 2 d'
_symmetry_Int_Tables_number 122
_symmetry_space_group_name_Hall 'I -4 2bw'
_cell_length_a 6.421
_cell_length_b 6.421
_cell_length_c 13.186
_cell_angle_alpha 90.00
_cell_angle_beta 90.00
_cell_angle_gamma 90.00
loop_
_atom_site_label
_atom_site_type_symbol
_atom_site_fract_x
_atom_site_fract_y
_atom_site_fract_z
Ga1 Ga 0.000 0.000 0.000
B1 B 0.000 0.000 0.500
Br1 Br 0.180 0.250 0.625

[10]
# GaB3Br | Alexandria via LeMat-Bulk | PBE | relaxed
# Excess energy over the best structure of this formula in the dataset   0 meV per atom
data_GaB3Br
_chemical_formula_sum 'Ga1 B3 Br1'
_symmetry_space_group_name_H-M 'P m -3 m'
_symmetry_Int_Tables_number 221
_symmetry_space_group_name_Hall '-P 4 2 3'
_cell_length_a 4.317
_cell_length_b 4.317
_cell_length_c 4.317
_cell_angle_alpha 90.00
_cell_angle_beta 90.00
_cell_angle_gamma 90.00
loop_
_atom_site_label
_atom_site_type_symbol
_atom_site_fract_x
_atom_site_fract_y
_atom_site_fract_z
Ga1 Ga 0.000 0.000 0.000
B1 B 0.000 0.000 0.500
Br1 Br 0.500 0.500 0.500

[11]
GaBBr after structural relaxation. Source: Alexandria via LeMat-Bulk, functional PBE.

Cell and atoms, written as CIF:
```
data_GaBBr
_chemical_formula_sum 'Ga4 B4 Br4'
_symmetry_space_group_name_H-M 'P 1 21/c 1'
_symmetry_Int_Tables_number 14
_cell_length_a 10.580
_cell_length_b 3.354
_cell_length_c 7.329
_cell_angle_alpha 90.00
_cell_angle_beta 102.19
_cell_angle_gamma 90.00
loop_
_symmetry_equiv_pos_as_xyz
'x,y,z'
'-x,-y,-z'
'-x,y+1/2,-z+1/2'
'x,-y+1/2,z+1/2'
loop_
_atom_site_label
_atom_site_type_symbol
_atom_site_fract_x
_atom_site_fract_y
_atom_site_fract_z
Ga1 Ga 0.142 0.001 0.043
B1 B 0.000 0.001 0.225
Br1 Br 0.322 0.501 0.098
```

[12]
# Ga2B2Br | Alexandria via LeMat-Bulk | PBE | relaxed
# Excess energy over the best structure of this formula in the dataset   0 meV per atom
data_Ga2B2Br
_chemical_formula_sum 'Ga4 B4 Br2'
_symmetry_space_group_name_H-M 'P 4/m b m'
_symmetry_Int_Tables_number 127
_symmetry_space_group_name_Hall '-P 4 2ab'
_cell_length_a 7.609
_cell_length_b 7.609
_cell_length_c 3.732
_cell_angle_alpha 90.00
_cell_angle_beta 90.00
_cell_angle_gamma 90.00
loop_
_atom_site_label
_atom_site_type_symbol
_atom_site_fract_x
_atom_site_fract_y
_atom_site_fract_z
Ga1 Ga 0.151 0.349 0.000
B1 B 0.072 0.428 0.500
Br1 Br 0.000 0.000 0.000

[13]
# Ga2B2Br | Alexandria via LeMat-Bulk | PBE | relaxed
# Excess energy over the best structure of this formula in the dataset   191 meV per atom
data_Ga2B2Br
_chemical_formula_sum 'Ga4 B4 Br2'
_symmetry_space_group_name_H-M 'I 4/m m m'
_symmetry_Int_Tables_number 139
_symmetry_space_group_name_Hall '-I 4 2'
_cell_length_a 3.309
_cell_length_b 3.309
_cell_length_c 13.832
_cell_angle_alpha 90.00
_cell_angle_beta 90.00
_cell_angle_gamma 90.00
loop_
_atom_site_label
_atom_site_type_symbol
_atom_site_fract_x
_atom_site_fract_y
_atom_site_fract_z
Ga1 Ga 0.000 0.000 0.145
B1 B 0.000 0.500 0.250
Br1 Br 0.000 0.000 0.500

[14]
# Ga3BBr | Alexandria via LeMat-Bulk | PBE | relaxed
# Excess energy over the best structure of this formula in the dataset   1137 meV per atom
data_Ga3BBr
_chemical_formula_sum 'Ga3 B1 Br1'
_symmetry_space_group_name_H-M 'P m -3 m'
_symmetry_Int_Tables_number 221
_symmetry_space_group_name_Hall '-P 4 2 3'
_cell_length_a 5.588
_cell_length_b 5.588
_cell_length_c 5.588
_cell_angle_alpha 90.00
_cell_angle_beta 90.00
_cell_angle_gamma 90.00
loop_
_atom_site_label
_atom_site_type_symbol
_atom_site_fract_x
_atom_site_fract_y
_atom_site_fract_z
Ga1 Ga 0.000 0.000 0.500
B1 B 0.500 0.500 0.500
Br1 Br 0.000 0.000 0.000

[15]
GaNiBBr2 after structural relaxation. Source: Alexandria via LeMat-Bulk, functional PBE.

Cell and atoms, written as CIF:
```
data_GaNiBBr2
_chemical_formula_sum 'Ga1 Ni1 B1 Br2'
_symmetry_space_group_name_H-M 'P 4/m m m'
_symmetry_Int_Tables_number 123
_symmetry_space_group_name_Hall '-P 4 2'
_cell_length_a 5.252
_cell_length_b 5.252
_cell_length_c 3.833
_cell_angle_alpha 90.00
_cell_angle_beta 90.00
_cell_angle_gamma 90.00
loop_
_atom_site_label
_atom_site_type_symbol
_atom_site_fract_x
_atom_site_fract_y
_atom_site_fract_z
Ga1 Ga 0.000 0.000 0.000
Ni1 Ni 0.500 0.500 0.500
B1 B 0.500 0.500 0.000
Br1 Br 0.000 0.500 0.500
```

[16]
Ga2BPBr after structural relaxation. Source: Alexandria via LeMat-Bulk, functional PBE.

Cell and atoms, written as CIF:
```
data_Ga2BPBr
_chemical_formula_sum 'Ga2 B1 P1 Br1'
_symmetry_space_group_name_H-M 'P 4/m m m'
_symmetry_Int_Tables_number 123
_symmetry_space_group_name_Hall '-P 4 2'
_cell_length_a 4.368
_cell_length_b 4.368
_cell_length_c 4.699
_cell_angle_alpha 90.00
_cell_angle_beta 90.00
_cell_angle_gamma 90.00
loop_
_atom_site_label
_atom_site_type_symbol
_atom_site_fract_x
_atom_site_fract_y
_atom_site_fract_z
Ga1 Ga 0.000 0.500 0.000
B1 B 0.000 0.000 0.000
P1 P 0.500 0.500 0.500
Br1 Br 0.000 0.000 0.500
```

[17]
Ga2BPtBr after structural relaxation. Source: Alexandria via LeMat-Bulk, functional PBE.

Cell and atoms, written as CIF:
```
data_Ga2BPtBr
_chemical_formula_sum 'Ga2 B1 Pt1 Br1'
_symmetry_space_group_name_H-M 'P 4/m m m'
_symmetry_Int_Tables_number 123
_symmetry_space_group_name_Hall '-P 4 2'
_cell_length_a 5.214
_cell_length_b 5.214
_cell_length_c 4.008
_cell_angle_alpha 90.00
_cell_angle_beta 90.00
_cell_angle_gamma 90.00
loop_
_atom_site_label
_atom_site_type_symbol
_atom_site_fract_x
_atom_site_fract_y
_atom_site_fract_z
Ga1 Ga 0.000 0.500 0.000
B1 B 0.000 0.000 0.500
Pt1 Pt 0.500 0.500 0.500
Br1 Br 0.000 0.000 0.000
```

[18]
GaB2SBr after structural relaxation. Source: Alexandria via LeMat-Bulk, functional PBE.

Cell and atoms, written as CIF:
```
data_GaB2SBr
_chemical_formula_sum 'Ga1 B2 S1 Br1'
_symmetry_space_group_name_H-M 'P 4/m m m'
_symmetry_Int_Tables_number 123
_symmetry_space_group_name_Hall '-P 4 2'
_cell_length_a 3.928
_cell_length_b 3.928
_cell_length_c 6.708
_cell_angle_alpha 90.00
_cell_angle_beta 90.00
_cell_angle_gamma 90.00
loop_
_atom_site_label
_atom_site_type_symbol
_atom_site_fract_x
_atom_site_fract_y
_atom_site_fract_z
Ga1 Ga 0.000 0.000 0.000
B1 B 0.000 0.500 0.500
S1 S 0.000 0.000 0.500
Br1 Br 0.500 0.500 0.000
```

[19]
GaB2SbBr after structural relaxation. Source: Alexandria via LeMat-Bulk, functional PBE.

Cell and atoms, written as CIF:
```
data_GaB2SbBr
_chemical_formula_sum 'Ga1 B2 Sb1 Br1'
_symmetry_space_group_name_H-M 'P 4/m m m'
_symmetry_Int_Tables_number 123
_symmetry_space_group_name_Hall '-P 4 2'
_cell_length_a 4.381
_cell_length_b 4.381
_cell_length_c 8.320
_cell_angle_alpha 90.00
_cell_angle_beta 90.00
_cell_angle_gamma 90.00
loop_
_atom_site_label
_atom_site_type_symbol
_atom_site_fract_x
_atom_site_fract_y
_atom_site_fract_z
Ga1 Ga 0.000 0.000 0.000
B1 B 0.000 0.500 0.500
Sb1 Sb 0.500 0.500 0.500
Br1 Br 0.500 0.500 0.000
```

[20]
# GaBSeBr2 | Alexandria via LeMat-Bulk | PBE | relaxed
# Excess energy over the best structure of this formula in the dataset   415 meV per atom
data_GaBSeBr2
_chemical_formula_sum 'Ga1 B1 Se1 Br2'
_symmetry_space_group_name_H-M 'P 4/m m m'
_symmetry_Int_Tables_number 123
_symmetry_space_group_name_Hall '-P 4 2'
_cell_length_a 5.170
_cell_length_b 5.170
_cell_length_c 5.051
_cell_angle_alpha 90.00
_cell_angle_beta 90.00
_cell_angle_gamma 90.00
loop_
_atom_site_label
_atom_site_type_symbol
_atom_site_fract_x
_atom_site_fract_y
_atom_site_fract_z
Ga1 Ga 0.000 0.000 0.000
B1 B 0.500 0.500 0.500
Se1 Se 0.000 0.000 0.500
Br1 Br 0.000 0.500 0.000

Here are the calculated DOS at the Fermi energy numbers, same order: 6.5, 0.0, 6.7, 0.0, 7.7, 2.6, 9.3, 2.8, 0.0, 2.8, 2.3, 4.1, 2.2, 4.6, 1.1, 2.0, 1.6, 2.7, 2.6, 2.9 (states/eV per cell).
Here are the calculated magnetic moment numbers, same order: 0.0, 0.0, 0.0, 0.0, 0.0, 0.0, 0.0, 0.0, 0.0, 0.0, 0.0, 0.3, 0.0, 1.3, 0.0, 0.0, 0.0, 0.3, 0.0, 0.0 (μB/f.u.).
Here are the calculated formation energy from raw total energies numbers, same order: 0.75, 0.76, 0.68, 1.01, 0.63, 0.26, 1.89, 2.47, 0.61, 1.84, -0.09, 0.51, 0.70, 1.40, 0.30, 0.68, 1.40, 1.16, 1.34, 0.79 (eV per atom).